[1]
# Tb8SmMg6 GGA-PBE optimized geometry
# **ΔE_f**: 0.19 eV per atom
data_Tb8SmMg6
_chemical_formula_sum 'Tb24 Sm3 Mg18'
_cell_length_a 9.1427
_cell_length_b 9.1427
_cell_length_c 19.4230
_cell_angle_alpha 90.00
_cell_angle_beta 90.00
_cell_angle_gamma 120.00
_symmetry_space_group_name_H-M 'R -3'
_symmetry_Int_Tables_number 148
_symmetry_space_group_name_Hall '-R 3'
loop_
_atom_site_label
_atom_site_type_symbol
_atom_site_fract_x
_atom_site_fract_y
_atom_site_fract_z
_atom_site_occupancy
Tb1 Tb 0.0000 0.0000 0.1659 1
Tb2 Tb 0.0000 0.3339 0.6174 1
Sm1 Sm 0.0000 0.0000 0.5000 1
Mg1 Mg 0.0004 0.3347 0.4522 1

=====

[2]
# CaTb2MgAu4 GGA-PBE optimized geometry
# **ΔE_f**: -0.79 eV per atom
data_CaTb2MgAu4
_chemical_formula_sum 'Ca3 Tb6 Mg3 Au12'
_cell_length_a 5.0145
_cell_length_b 5.0145
_cell_length_c 24.5855
_cell_angle_alpha 90.00
_cell_angle_beta 90.00
_cell_angle_gamma 120.00
_symmetry_space_group_name_H-M 'R -3 m'
_symmetry_Int_Tables_number 166
_symmetry_space_group_name_Hall '-R 3 2"'
loop_
_atom_site_label
_atom_site_type_symbol
_atom_site_fract_x
_atom_site_fract_y
_atom_site_fract_z
_atom_site_occupancy
Ca1 Ca 0.0000 0.0000 0.0000 1
Tb1 Tb 0.0000 0.0000 0.2464 1
Mg1 Mg 0.0000 0.0000 0.5000 1
Au1 Au 0.0000 0.0000 0.1252 1
Au2 Au 0.0000 0.0000 0.3784 1

=====

[3]
# LiPm2H6Os GGA-PBE optimized geometry
# **Raw total energy**: -4.625 eV per atom
data_LiPm2H6Os
_chemical_formula_sum 'Li1 Pm2 H6 Os1'
_cell_length_a 4.9660
_cell_length_b 4.9660
_cell_length_c 5.3032
_cell_angle_alpha 90.00
_cell_angle_beta 90.00
_cell_angle_gamma 120.00
_symmetry_space_group_name_H-M 'P -3 m 1'
_symmetry_Int_Tables_number 164
_symmetry_space_group_name_Hall '-P 3 2"'
loop_
_atom_site_label
_atom_site_type_symbol
_atom_site_fract_x
_atom_site_fract_y
_atom_site_fract_z
_atom_site_occupancy
Li1 Li 0.0000 0.0000 0.0000 1
Pm1 Pm 0.3333 0.6667 0.2648 1
H1 H 0.1600 0.3200 0.7116 1
Os1 Os 0.0000 0.0000 0.5000 1

=====

[4]
# Sm3TlZn GGA-PBE optimized geometry
# **ΔE to the lowest computed polymorph**: 0.10 eV per formula unit
# **ΔE_f**: -0.22 eV per atom
data_Sm3TlZn
_chemical_formula_sum 'Sm9 Tl3 Zn3'
_cell_length_a 7.498
_cell_length_b 7.498
_cell_length_c 7.498
_cell_angle_alpha 90.00
_cell_angle_beta 90.00
_cell_angle_gamma 90.00
_symmetry_space_group_name_H-M 'P m -3 m'
_symmetry_Int_Tables_number 221
_symmetry_space_group_name_Hall '-P 4 2 3'
loop_
_atom_site_label
_atom_site_type_symbol
_atom_site_fract_x
_atom_site_fract_y
_atom_site_fract_z
_atom_site_occupancy
Sm1 Sm 0.000 0.000 0.000 1
Sm2 Sm 0.265 0.265 0.265 1
Tl1 Tl 0.000 0.000 0.500 1
Zn1 Zn 0.000 0.500 0.500 1

=====

[5]
# CsTmFeCl6 GGA-PBE optimized geometry
# **Formation energy without anion corrections**: -15.4 eV per formula unit
data_CsTmFeCl6
_chemical_formula_sum 'Cs2 Tm2 Fe2 Cl12'
_cell_length_a 6.699
_cell_length_b 11.597
_cell_length_c 7.816
_cell_angle_alpha 90.00
_cell_angle_beta 90.10
_cell_angle_gamma 90.00
_symmetry_space_group_name_H-M 'C 1 2 1'
_symmetry_Int_Tables_number 5
_symmetry_space_group_name_Hall 'C 2y'
loop_
_atom_site_label
_atom_site_type_symbol
_atom_site_fract_x
_atom_site_fract_y
_atom_site_fract_z
_atom_site_occupancy
Cs1 Cs 0.000 0.000 0.000 1
Tm1 Tm 0.000 0.334 0.500 1
Fe1 Fe 0.000 0.667 0.500 1
Cl1 Cl 0.119 0.506 0.689 1
Cl2 Cl 0.180 0.808 0.688 1
Cl3 Cl 0.198 0.185 0.687 1

=====

[6]
# Pa2VCo4Si3 GGA-PBE optimized geometry
# **Formation energy without anion corrections**: -7.1 eV per formula unit
data_Pa2VCo4Si3
_chemical_formula_sum 'Pa2 V1 Co4 Si3'
_cell_length_a 3.901
_cell_length_b 3.901
_cell_length_c 9.656
_cell_angle_alpha 90.00
_cell_angle_beta 90.00
_cell_angle_gamma 90.00
_symmetry_space_group_name_H-M 'P -4 m 2'
_symmetry_Int_Tables_number 115
_symmetry_space_group_name_Hall 'P -4 -2'
loop_
_atom_site_label
_atom_site_type_symbol
_atom_site_fract_x
_atom_site_fract_y
_atom_site_fract_z
_atom_site_occupancy
Pa1 Pa 0.000 0.500 0.248 1
V1 V 0.000 0.000 0.500 1
Co1 Co 0.000 0.000 0.000 1
Co2 Co 0.000 0.500 0.633 1
Co3 Co 0.500 0.500 0.000 1
Si1 Si 0.000 0.500 0.872 1
Si2 Si 0.500 0.500 0.500 1

=====

[7]
# Sm2Dy4Mg GGA-PBE optimized geometry
# **ΔE to the lowest computed polymorph**: 0.00 eV per formula unit
# **ΔE_f**: 0.10 eV per atom
data_Sm2Dy4Mg
_chemical_formula_sum 'Sm4 Dy8 Mg2'
_cell_length_a 6.039
_cell_length_b 6.543
_cell_length_c 11.489
_cell_angle_alpha 90.00
_cell_angle_beta 105.13
_cell_angle_gamma 90.00
_symmetry_space_group_name_H-M 'P 1 21/m 1'
_symmetry_Int_Tables_number 11
_symmetry_space_group_name_Hall '-P 2yb'
loop_
_atom_site_label
_atom_site_type_symbol
_atom_site_fract_x
_atom_site_fract_y
_atom_site_fract_z
_atom_site_occupancy
Sm1 Sm 0.106 0.250 0.004 1
Sm2 Sm 0.218 0.250 0.576 1
Dy1 Dy 0.145 0.501 0.287 1
Dy2 Dy 0.355 0.750 0.559 1
Dy3 Dy 0.473 0.750 0.125 1
Mg1 Mg 0.344 0.750 0.833 1

=====

[8]
# TlCoTeN2 GGA-PBE optimized geometry
# **ΔE to the lowest computed polymorph**: 0.00 eV per formula unit
# **Formation energy without anion corrections**: 5.9 eV per formula unit
data_TlCoTeN2
_chemical_formula_sum 'Tl1 Co1 Te1 N2'
_cell_length_a 4.018
_cell_length_b 4.018
_cell_length_c 5.345
_cell_angle_alpha 90.00
_cell_angle_beta 90.00
_cell_angle_gamma 90.00
_symmetry_space_group_name_H-M 'P 4/m m m'
_symmetry_Int_Tables_number 123
_symmetry_space_group_name_Hall '-P 4 2'
loop_
_atom_site_label
_atom_site_type_symbol
_atom_site_fract_x
_atom_site_fract_y
_atom_site_fract_z
_atom_site_occupancy
Tl1 Tl 0.000 0.000 0.000 1
Co1 Co 0.500 0.500 0.500 1
Te1 Te 0.500 0.500 0.000 1
N1 N 0.000 0.500 0.500 1

=====

[9]
# Na2VH6 GGA-PBE optimized geometry
# **Raw total energy**: -3.363 eV per atom
data_Na2VH6
_chemical_formula_sum 'Na8 V4 H24'
_cell_length_a 7.467
_cell_length_b 7.467
_cell_length_c 7.467
_cell_angle_alpha 90.00
_cell_angle_beta 90.00
_cell_angle_gamma 90.00
_symmetry_space_group_name_H-M 'F m -3 m'
_symmetry_Int_Tables_number 225
_symmetry_space_group_name_Hall '-F 4 2 3'
loop_
_atom_site_label
_atom_site_type_symbol
_atom_site_fract_x
_atom_site_fract_y
_atom_site_fract_z
_atom_site_occupancy
Na1 Na 0.250 0.250 0.250 1
V1 V 0.000 0.000 0.000 1
H1 H 0.000 0.000 0.234 1

=====

[10]
# Si2IrBr2 GGA-PBE optimized geometry
# **ΔE to the lowest computed polymorph**: 0.00 eV per formula unit
# **Formation energy without anion corrections**: 4.9 eV per formula unit
data_Si2IrBr2
_chemical_formula_sum 'Si4 Ir2 Br4'
_cell_length_a 5.417
_cell_length_b 5.417
_cell_length_c 7.685
_cell_angle_alpha 90.00
_cell_angle_beta 90.00
_cell_angle_gamma 90.00
_symmetry_space_group_name_H-M 'I 4/m m m'
_symmetry_Int_Tables_number 139
_symmetry_space_group_name_Hall '-I 4 2'
loop_
_atom_site_label
_atom_site_type_symbol
_atom_site_fract_x
_atom_site_fract_y
_atom_site_fract_z
_atom_site_occupancy
Si1 Si 0.000 0.500 0.250 1
Ir1 Ir 0.000 0.000 0.000 1
Br1 Br 0.000 0.000 0.311 1

=====

[11]
# FeCoMo2 GGA-PBE optimized geometry
# **ΔE to the lowest computed polymorph**: 0.04 eV per formula unit
# **ΔE_f**: 0.10 eV per atom
data_FeCoMo2
_chemical_formula_sum 'Fe2 Co2 Mo4'
_cell_length_a 5.329
_cell_length_b 7.379
_cell_length_c 2.672
_cell_angle_alpha 90.00
_cell_angle_beta 90.00
_cell_angle_gamma 90.00
_symmetry_space_group_name_H-M 'C m m m'
_symmetry_Int_Tables_number 65
_symmetry_space_group_name_Hall '-C 2 2'
loop_
_atom_site_label
_atom_site_type_symbol
_atom_site_fract_x
_atom_site_fract_y
_atom_site_fract_z
_atom_site_occupancy
Fe1 Fe 0.000 0.000 0.000 1
Co1 Co 0.000 0.500 0.000 1
Mo1 Mo 0.250 0.250 0.500 1

=====

[12]
# Na4Tl6Pb GGA-PBE optimized geometry
# **ΔE_f**: -0.03 eV per atom
data_Na4Tl6Pb
_chemical_formula_sum 'Na8 Tl12 Pb2'
_cell_length_a 6.527
_cell_length_b 6.527
_cell_length_c 16.389
_cell_angle_alpha 90.00
_cell_angle_beta 90.00
_cell_angle_gamma 90.00
_symmetry_space_group_name_H-M 'I -4 2 m'
_symmetry_Int_Tables_number 121
_symmetry_space_group_name_Hall 'I -4 2'
loop_
_atom_site_label
_atom_site_type_symbol
_atom_site_fract_x
_atom_site_fract_y
_atom_site_fract_z
_atom_site_occupancy
Na1 Na 0.199 0.199 0.171 1
Tl1 Tl 0.000 0.500 0.000 1
Tl2 Tl 0.184 0.184 0.369 1
Pb1 Pb 0.000 0.000 0.000 1